(1)
Below is a relaxed Dy5Pu3S8 crystal, with properties calculated at the PBE level.

Results
ρ = 8759 kg/m3
total DFT energy (no corrections) = -8.13 eV/atom
V = 341.4 Å³/f.u.

Structure (CIF):
```
data_Dy5Pu3S8
_symmetry_space_group_name_H-M 'R -3 m'
_symmetry_Int_Tables_number 166
_symmetry_space_group_name_Hall '-R 3 2"'
_cell_length_a 7.8285
_cell_length_b 7.8285
_cell_length_c 19.2989
_cell_angle_alpha 90.00
_cell_angle_beta 90.00
_cell_angle_gamma 120.00
loop_
_atom_site_label
_atom_site_type_symbol
_atom_site_fract_x
_atom_site_fract_y
_atom_site_fract_z
_atom_site_occupancy
Dy1 Dy 0.0000 0.0000 0.0000 1
Dy2 Dy 0.0000 0.0000 0.5000 1
Dy3 Dy 0.0000 0.5000 0.0000 1
Pu1 Pu 0.0000 0.5000 0.5000 1
S1 S 0.0000 0.0000 0.2510 1
S2 S 0.0017 0.5009 0.2509 1
```

(2)
Below is a relaxed Li2SbTe crystal, with properties calculated at the PBE level.

Results
ρ = 4828 kg/m3
ΔE to the lowest computed polymorph = 0.32 eV per formula unit
total DFT energy (no corrections) = -3.21 eV/atom
V = 90.5 Å³/f.u.

Structure (CIF):
```
data_Li2SbTe
_symmetry_space_group_name_H-M 'R -3 m'
_symmetry_Int_Tables_number 166
_symmetry_space_group_name_Hall '-R 3 2"'
_cell_length_a 3.4629
_cell_length_b 3.4629
_cell_length_c 26.1557
_cell_angle_alpha 90.00
_cell_angle_beta 90.00
_cell_angle_gamma 120.00
loop_
_atom_site_label
_atom_site_type_symbol
_atom_site_fract_x
_atom_site_fract_y
_atom_site_fract_z
_atom_site_occupancy
Li1 Li 0.0000 0.0000 0.2491 1
Sb1 Sb 0.0000 0.0000 0.0000 1
Te1 Te 0.0000 0.0000 0.5000 1
```

(3)
Below is a relaxed Cs2Np2PtSe6 crystal, with properties calculated at the PBE level.

Results
ρ = 6468 kg/m3
total DFT energy (no corrections) = -5.93 eV/atom
V = 361.6 Å³/f.u.

Structure (CIF):
```
data_Cs2Np2PtSe6
_symmetry_space_group_name_H-M 'C 1 2/m 1'
_symmetry_Int_Tables_number 12
_symmetry_space_group_name_Hall '-C 2y'
_cell_length_a 7.680
_cell_length_b 11.236
_cell_length_c 8.682
_cell_angle_alpha 90.00
_cell_angle_beta 105.12
_cell_angle_gamma 90.00
loop_
_atom_site_label
_atom_site_type_symbol
_atom_site_fract_x
_atom_site_fract_y
_atom_site_fract_z
_atom_site_occupancy
Cs1 Cs 0.000 0.189 0.000 1
Np1 Np 0.000 0.333 0.500 1
Pt1 Pt 0.000 0.000 0.500 1
Se1 Se 0.156 0.500 0.733 1
Se2 Se 0.211 0.150 0.668 1
```

- Number 3 is which compound?
  Cs2Np2PtSe6